Entry 1:
Computed, not measured: an optimized crystal structure of K3Tm2InO6 at the PBE level of DFT.

The raw formation energy is -2.385 eV per atom. As for the calculated total energy: -0.449 Ry/atom. The value obtained for the density of states at the Fermi level is 0.00 states/eV per cell.

The structure belongs to space group C2/m (No. 12); the cell edges are 5.885, 10.193 and 6.542 Å and the angles 90.00°, 107.42° and 90.00°. The distinct sites, in fractional coordinates, are K at (0.000, 0.000, 0.000), K at (0.000, 0.336, 0.000), Tm at (0.000, 0.167, 0.500), In at (0.000, 0.500, 0.500), O at (0.228, 0.000, 0.685) and O at (0.229, 0.333, 0.686).

Entry 2:
Computed, not measured: an optimized crystal structure of K2TmInO4 at the PBE level of DFT.

The raw formation energy is -2.177 eV per atom. As for the calculated total energy: -0.429 Ry/atom. The value obtained for the density of states at the Fermi level is 0.00 states/eV per cell.

The structure belongs to space group P2/m (No. 10); the cell edges are 5.859, 3.390 and 6.550 Å and the angles 90.00°, 107.77° and 90.00°. The distinct sites, in fractional coordinates, are K at (0.000, 0.000, 0.000), K at (0.500, 0.500, 0.000), Tm at (0.000, 0.500, 0.500), In at (0.500, 0.000, 0.500), O at (0.226, 0.000, 0.687) and O at (0.273, 0.500, 0.314).

Entry 3:
Computed, not measured: an optimized crystal structure of KTmIn4O8 at the PBE level of DFT.

The raw formation energy is -1.810 eV per atom. As for the calculated total energy: -0.428 Ry/atom. The value obtained for the density of states at the Fermi level is 20.61 states/eV per cell.

The structure belongs to space group R3m (No. 160, hexagonal axes); the cell edges are 6.7133, 6.7133 and 16.4477 Å and the angles 90.00°, 90.00° and 120.00°. The distinct sites, in fractional coordinates, are K at (0.0000, 0.0000, 0.0000), Tm at (0.0000, 0.0000, 0.3732), In at (0.0000, 0.0000, 0.7547), In at (0.0103, 0.5051, 0.8780), O at (0.0000, 0.0000, 0.1457), O at (0.0000, 0.0000, 0.6181), O at (0.0194, 0.5097, 0.1308) and O at (0.1932, 0.3864, 0.9535).

Entry 4:
Computed, not measured: an optimized crystal structure of K4U3InO12 at the PBE level of DFT.

The raw formation energy is -2.651 eV per atom. As for the calculated total energy: -0.564 Ry/atom. The value obtained for the density of states at the Fermi level is 17.21 states/eV per cell.

The structure belongs to space group Im-3m (No. 229); the cell edges are 8.577, 8.577 and 8.577 Å and the angles 90.00°, 90.00° and 90.00°. The distinct sites, in fractional coordinates, are K at (0.250, 0.250, 0.250), U at (0.000, 0.000, 0.500), In at (0.000, 0.000, 0.000), O at (0.000, 0.000, 0.262) and O at (0.000, 0.250, 0.500).

- Number 4 is which compound?
  K4U3InO12

- The lowest raw formation energy belongs to which entry?
  K4U3InO12